A relaxed structure of PaNiOsO6, computed with PBE with a Hubbard U.

Cell lengths 5.427, 5.427, 8.841 Å; angles 90.00, 90.00, 120.00 degrees
Fractional coordinates of all 18 atoms:
Pa 0.333 0.667 0.250
Pa 0.667 0.333 0.750
Ni 0.000 0.000 0.000
Ni 0.000 0.000 0.500
Os 0.667 0.333 0.250
Os 0.333 0.667 0.750
O 0.675 0.646 0.129
O 0.971 0.325 0.129
O 0.325 0.971 0.629
O 0.029 0.675 0.871
O 0.354 0.325 0.371
O 0.971 0.646 0.371
O 0.646 0.971 0.871
O 0.675 0.029 0.371
O 0.029 0.354 0.629
O 0.354 0.029 0.129
O 0.646 0.675 0.629
O 0.325 0.354 0.871

Calculated values
* N(E_F): 1.80 states/eV/f.u.
* total DFT energy (no corrections): -0.285 hartree per atom